No. 1
Material: AgPdN
Method: DFT, PBE-GGA
State: relaxed

a b c (Å): 4.966 2.866 14.761
angles (deg): 90.00 90.00 90.00
Space group Amm2 (No. 38)
Symmetry-distinct sites (fractional):
Ag: 0.000 0.000 0.000
Ag: 0.500 0.000 0.118
Pd: 0.500 0.000 0.458
Pd: 0.500 0.000 0.789
N: 0.115 0.000 0.776

## Properties
**Relative energy among the computed polymorphs**: 0.0000 eV/atom
**N(E_F)**: 0.960 states/eV/f.u.
**Formation energy without anion corrections**: 0.2631 eV/atom
**Volume**: 17.505 A^3/atom

---

No. 2
Material: LaTe2N2
Method: DFT, PBE-GGA
State: relaxed

a b c (Å): 6.701 6.701 4.004
angles (deg): 90.00 90.00 90.00
Space group P4/mmm (No. 123)
Symmetry-distinct sites (fractional):
La: 0.000 0.000 0.000
Te: 0.000 0.500 0.000
N: 0.000 0.000 0.500
N: 0.500 0.500 0.500

## Properties
**Relative energy among the computed polymorphs**: 0.6731 eV/atom
**N(E_F)**: 3.723 states/eV/f.u.
**Formation energy without anion corrections**: 1.2715 eV/atom
**Volume**: 35.960 A^3/atom

---

No. 3
Material: Fe2HgPt
Method: DFT, PBE-GGA
State: relaxed

a b c (Å): 3.003 3.003 6.723
angles (deg): 90.00 90.00 90.00
Space group P4mm (No. 99)
Symmetry-distinct sites (fractional):
Fe: 0.000 0.000 0.000
Fe: 0.500 0.500 0.185
Hg: 0.000 0.000 0.461
Pt: 0.500 0.500 0.766

## Properties
**N(E_F)**: 4.352 states/eV/f.u.
**Volume**: 15.159 A^3/atom
**VASP energy**: -22.9 eV per cell

---

No. 4
Material: BeVAu
Method: DFT, PBE-GGA
State: relaxed

a b c (Å): 4.230 12.006 3.186
angles (deg): 90.00 90.00 90.00
Space group Cmcm (No. 63)
Symmetry-distinct sites (fractional):
Be: 0.000 0.059 0.250
V: 0.000 0.426 0.250
Au: 0.000 0.212 0.750

## Properties
**Relative energy among the computed polymorphs**: 0.0348 eV/atom
**N(E_F)**: 1.273 states/eV/f.u.
**Volume**: 13.485 A^3/atom

---

No. 5
Material: EuDyCo
Method: DFT, PBE-GGA
State: relaxed

a b c (Å): 3.432 3.432 12.898
angles (deg): 90.00 90.00 90.00
Space group I4mm (No. 107)
Symmetry-distinct sites (fractional):
Eu: 0.000 0.000 0.000
Dy: 0.000 0.000 0.256
Co: 0.000 0.000 0.644

## Properties
**N(E_F)**: 7.412 states/eV/f.u.
**Volume**: 25.320 A^3/atom
**VASP energy**: -43.9 eV per cell

---

No. 6
Material: LiMg2Au
Method: DFT, PBE-GGA
State: relaxed

a b c (Å): 6.586 6.586 6.586
angles (deg): 90.00 90.00 90.00
Space group Fm-3m (No. 225)
Symmetry-distinct sites (fractional):
Li: 0.000 0.000 0.000
Mg: 0.250 0.250 0.250
Au: 0.000 0.000 0.500

## Properties
**N(E_F)**: 1.407 states/eV/f.u.
**Volume**: 17.852 A^3/atom
**VASP energy**: -41.1 eV per cell

---

No. 7
Material: Li2NiP
Method: DFT, PBE-GGA
State: relaxed

a b c (Å): 4.593 7.852 2.666
angles (deg): 90.00 90.88 90.00
Space group C2/m (No. 12)
Symmetry-distinct sites (fractional):
Li: 0.250 0.250 0.000
Ni: 0.000 0.000 0.500
P: 0.000 0.500 0.500

## Properties
**N(E_F)**: 1.466 states/eV/f.u.
**Volume**: 12.015 A^3/atom
**VASP energy**: -32.3 eV per cell

---

No. 8
Material: Tb3HoSb2C
Method: DFT, PBE-GGA
State: relaxed

a b c (Å): 4.770 4.811 15.832
angles (deg): 90.00 90.00 90.00
Space group Immm (No. 71)
Symmetry-distinct sites (fractional):
Tb: 0.000 0.000 0.000
Tb: 0.000 0.500 0.158
Ho: 0.000 0.000 0.500
Sb: 0.000 0.500 0.359
C: 0.000 0.500 0.000

## Properties
**N(E_F)**: 6.027 states/eV/f.u.
**Formation energy without anion corrections**: -0.7857 eV/atom
**Volume**: 25.951 A^3/atom